No. 1
The following is a PBE-GGA calculation of a relaxed structure of Na2TaPS4, from OQMD.

Calculated values
* size of the total moment: 0.00 μB per formula unit

The structure in CIF format:
```
data_Na2TaPS4
_space_group_name_H-M_alt 'P -6 m 2'
_space_group_IT_number 187
_space_group_name_Hall 'P -6 2'
_cell_length_a 3.4413
_cell_length_b 3.4413
_cell_length_c 14.2295
_cell_angle_alpha 90.00
_cell_angle_beta 90.00
_cell_angle_gamma 120.00
loop_
_atom_site_label
_atom_site_fract_x
_atom_site_fract_y
_atom_site_fract_z
Na1 0.0000 0.0000 0.2499
Ta1 0.0000 0.0000 0.0000
P1 0.0000 0.0000 0.5000
S1 0.3333 0.6667 0.3914
S2 0.6667 0.3333 0.1086
```

=====

No. 2
The following is a PBE-GGA calculation of a relaxed structure of NaZnPS4, from OQMD.

The structure in CIF format:
```
data_NaZnPS4
_space_group_name_H-M_alt 'I 4/m c m'
_space_group_IT_number 140
_space_group_name_Hall '-I 4 2c'
_cell_length_a 7.423
_cell_length_b 7.423
_cell_length_c 12.384
_cell_angle_alpha 90.00
_cell_angle_beta 90.00
_cell_angle_gamma 90.00
loop_
_atom_site_label
_atom_site_fract_x
_atom_site_fract_y
_atom_site_fract_z
Na1 0.000 0.000 0.250
Zn1 0.000 0.500 0.000
P1 0.000 0.500 0.250
S1 0.153 0.347 0.144
```

=====

No. 3
The following is a PBE-GGA calculation of a relaxed structure of Na2TaPSe4, from OQMD.

Calculated values
* size of the total moment: 0.01 μB per formula unit

The structure in CIF format:
```
data_Na2TaPSe4
_space_group_name_H-M_alt 'P -6 m 2'
_space_group_IT_number 187
_space_group_name_Hall 'P -6 2'
_cell_length_a 3.6055
_cell_length_b 3.6055
_cell_length_c 14.9635
_cell_angle_alpha 90.00
_cell_angle_beta 90.00
_cell_angle_gamma 120.00
loop_
_atom_site_label
_atom_site_fract_x
_atom_site_fract_y
_atom_site_fract_z
Na1 0.0000 0.0000 0.2497
Ta1 0.0000 0.0000 0.0000
P1 0.0000 0.0000 0.5000
Se1 0.3333 0.6667 0.3901
Se2 0.6667 0.3333 0.1092
```

=====

For the records above, the corresponding final energy values read -5.2149, -4.0636, -4.7725 eV/atom.